# 1
# Li2HoMg5Sc2 (PBE, optimized geometry)
# - Energy: -28.6 eV per formula unit
# - DOS(E_F): 8.15 states/eV/f.u.
data_Li2HoMg5Sc2
_cell_length_a 10.172
_cell_length_b 10.172
_cell_length_c 4.443
_cell_angle_alpha 90.00
_cell_angle_beta 90.00
_cell_angle_gamma 90.00
_symmetry_space_group_name_H-M 'P 4/m b m'
_symmetry_Int_Tables_number 127
_symmetry_space_group_name_Hall '-P 4 2ab'
loop_
_atom_site_label
_atom_site_fract_x
_atom_site_fract_y
_atom_site_fract_z
Li1 0.117 0.383 0.000
Ho1 0.000 0.000 0.000
Mg1 0.000 0.500 0.500
Mg2 0.068 0.212 0.500
Sc1 0.178 0.678 0.000

=====

# 2
# SrInAg (PBE, optimized geometry)
# - Energy: -8.4 eV per formula unit
# - DOS(E_F): 1.77 states/eV/f.u.
data_SrInAg
_cell_length_a 11.182
_cell_length_b 5.005
_cell_length_c 7.989
_cell_angle_alpha 90.00
_cell_angle_beta 130.79
_cell_angle_gamma 90.00
_symmetry_space_group_name_H-M 'C 1 2/m 1'
_symmetry_Int_Tables_number 12
_symmetry_space_group_name_Hall '-C 2y'
loop_
_atom_site_label
_atom_site_fract_x
_atom_site_fract_y
_atom_site_fract_z
Sr1 0.053 0.000 0.307
In1 0.171 0.500 0.108
Ag1 0.160 0.500 0.717

=====

# 3
# Li2YErTe4 (PBE, optimized geometry)
# - Energy: -37.8 eV per formula unit
data_Li2YErTe4
_cell_length_a 7.485
_cell_length_b 4.332
_cell_length_c 7.497
_cell_angle_alpha 90.00
_cell_angle_beta 109.48
_cell_angle_gamma 90.00
_symmetry_space_group_name_H-M 'P 1 2/m 1'
_symmetry_Int_Tables_number 10
_symmetry_space_group_name_Hall '-P 2y'
loop_
_atom_site_label
_atom_site_fract_x
_atom_site_fract_y
_atom_site_fract_z
Li1 0.000 0.000 0.000
Li2 0.000 0.500 0.500
Y1 0.500 0.000 0.500
Er1 0.500 0.500 0.000
Te1 0.245 0.500 0.247
Te2 0.246 0.000 0.751

=====

# 4
# ZnHgTe2 (PBE, optimized geometry)
# - Energy: -7.2 eV per formula unit
# - DOS(E_F): 1.45 states/eV/f.u.
data_ZnHgTe2
_cell_length_a 5.978
_cell_length_b 13.316
_cell_length_c 3.047
_cell_angle_alpha 90.00
_cell_angle_beta 91.42
_cell_angle_gamma 90.00
_symmetry_space_group_name_H-M 'C 1 2/m 1'
_symmetry_Int_Tables_number 12
_symmetry_space_group_name_Hall '-C 2y'
loop_
_atom_site_label
_atom_site_fract_x
_atom_site_fract_y
_atom_site_fract_z
Zn1 0.000 0.000 0.000
Hg1 0.000 0.500 0.000
Te1 0.250 0.250 0.500

=====

# 5
# Cs2Ca3UF12 (PBE, optimized geometry)
# - Energy: -105.5 eV per formula unit
# - DOS(E_F): 7.50 states/eV/f.u.
data_Cs2Ca3UF12
_cell_length_a 8.2061
_cell_length_b 8.2061
_cell_length_c 21.2107
_cell_angle_alpha 90.00
_cell_angle_beta 90.00
_cell_angle_gamma 120.00
_symmetry_space_group_name_H-M 'R -3 m'
_symmetry_Int_Tables_number 166
_symmetry_space_group_name_Hall '-R 3 2"'
loop_
_atom_site_label
_atom_site_fract_x
_atom_site_fract_y
_atom_site_fract_z
Cs1 0.0000 0.0000 0.0901
Ca1 0.0000 0.5000 0.0000
U1 0.0000 0.0000 0.5000
F1 0.0610 0.5305 0.3547
F2 0.0814 0.5407 0.1078

=====

# 6
# ErMg3Cd2 (PBE, optimized geometry)
# - Energy: -12.3 eV per formula unit
# - DOS(E_F): 1.58 states/eV/f.u.
data_ErMg3Cd2
_cell_length_a 4.9380
_cell_length_b 4.9380
_cell_length_c 6.5830
_cell_angle_alpha 90.00
_cell_angle_beta 90.00
_cell_angle_gamma 120.00
_symmetry_space_group_name_H-M 'P -3 m 1'
_symmetry_Int_Tables_number 164
_symmetry_space_group_name_Hall '-P 3 2"'
loop_
_atom_site_label
_atom_site_fract_x
_atom_site_fract_y
_atom_site_fract_z
Er1 0.0000 0.0000 0.0000
Mg1 0.0000 0.0000 0.5000
Mg2 0.3333 0.6667 0.7177
Cd1 0.3333 0.6667 0.2274